{
  "formula": "BaY2Se",
  "functional": "PBE",
  "state": "relaxed",
  "lattice": [[-2.400, 2.400, 5.442], [2.400, -2.400, 5.442], [2.400, 2.400, -5.442]],
  "species": ["Ba", "Y", "Y", "Se"],
  "fractional_positions": [[0.000, 0.000, 0.000], [0.500, 0.500, 0.000], [0.750, 0.250, 0.500], [0.250, 0.750, 0.500]],
  "total_magnetization_mub_per_atom": 0.236,
  "rho_kg_m3": 5219,
  "raw_formation_energy_ev_per_atom": -0.20,
  "final_energy_ev_per_atom": -4.781,
  "sg": "No. 119"
}